Crystalline Zr2CuPb2 at its relaxed geometry, computed with PBE.

## Properties
As for the theoretical density: 9.64 g/cm³. Its distance to the lowest polymorph of the same formula is 0.045 eV/atom. Its energy of formation from the pure elements is 0.1103 eV per atom. Its crystal system is tetragonal.

a b c (Å): 7.1622 7.1622 4.4361
angles (deg): 90.00 90.00 90.00
With the nearest neighbours (Å) after each atom.
Positions (direct):
1 Pb 0.8538 0.6462 0.0000  2 Cu 2.74, 2 Zr 2.91, 1 Pb 2.96
2 Pb 0.3538 0.8538 0.0000  2 Cu 2.74, 2 Zr 2.91, 1 Pb 2.96
3 Pb 0.6462 0.1462 0.0000  2 Cu 2.74, 2 Zr 2.91, 1 Pb 2.96
4 Pb 0.1462 0.3538 0.0000  2 Cu 2.74, 2 Zr 2.91, 1 Pb 2.96
5 Zr 0.3325 0.1675 0.5000  6 Pb 2.91-3.16
6 Zr 0.6675 0.8325 0.5000  6 Pb 2.91-3.16
7 Zr 0.8325 0.3325 0.5000  6 Pb 2.91-3.16
8 Zr 0.1675 0.6675 0.5000  6 Pb 2.91-3.16
9 Cu 0.5000 0.5000 0.0000  4 Pb 2.74
10 Cu 0.0000 0.0000 0.0000  4 Pb 2.74